[1]
Pm4Hg3Pd5 | PBE | optimized geometry

Cell lengths 13.219, 4.962, 10.881 Å; angles 90.00, 124.73, 90.00 degrees
Space group C2/m (No. 12)
Inequivalent atoms, fractional coordinates:
Pm 0.032 0.000 0.278 [4 per cell]
Pm 0.226 0.000 0.699 [4 per cell]
Hg 0.000 0.500 0.000 [2 per cell]
Hg 0.241 0.000 0.067 [4 per cell]
Pd 0.000 0.000 0.000 [2 per cell]
Pd 0.063 0.500 0.645 [4 per cell]
Pd 0.192 0.500 0.500 [4 per cell]

Output
DFT formation energy = -0.480 eV per atom

[2]
CsGa3Os | PBE | optimized geometry

Cell lengths 5.773, 5.773, 5.773 Å; angles 90.00, 90.00, 90.00 degrees
Space group Pm-3m (No. 221)
Inequivalent atoms, fractional coordinates:
Cs 0.000 0.000 0.000 [1 per cell]
Ga 0.000 0.000 0.500 [3 per cell]
Os 0.500 0.500 0.500 [1 per cell]

Output
Energy above the lowest structure with this stoichiometry = 2600 meV per atom
DFT formation energy = 2.420 eV per atom

[3]
LiNdSn2Se4 | PBE | optimized geometry

Cell lengths 7.195, 4.238, 7.440 Å; angles 90.00, 108.79, 90.00 degrees
Space group P2/m (No. 10)
Inequivalent atoms, fractional coordinates:
Li 0.000 0.000 0.000 [1 per cell]
Nd 0.500 0.500 0.000 [1 per cell]
Sn 0.000 0.500 0.500 [1 per cell]
Sn 0.500 0.000 0.500 [1 per cell]
Se 0.245 0.500 0.239 [2 per cell]
Se 0.249 0.000 0.761 [2 per cell]

Output
Energy = -4.577 eV/atom

What did we get for calculated density? Answer: 9.70 4.59 5.45 g cm⁻³, in the order shown.